TbGe2IrRu: relaxed, PBE-GGA.

a b c (Å): 4.2232 4.2232 10.0821
angles (deg): 90.00 90.00 90.00
Space group I-4m2 (No. 119)
Asymmetric unit:
Tb  0.0000  0.0000  0.0000 x2
Ge  0.0000  0.0000  0.3743 x4
Ir  0.0000  0.5000  0.2500 x2
Ru  0.0000  0.5000  0.7500 x2

Crystal system = tetragonal
Energy relative to the elements = -0.74 eV/atom

=====

Tb2Ge4Ir3Ru: relaxed, PBE-GGA.

a b c (Å): 4.2795 4.2795 9.9203
angles (deg): 90.00 90.00 90.00
Space group P-4m2 (No. 115)
Asymmetric unit:
Tb  0.0000  0.5000  0.2498 x2
Ge  0.0000  0.0000  0.0000 x1
Ge  0.0000  0.5000  0.6268 x2
Ge  0.5000  0.5000  0.0000 x1
Ir  0.0000  0.5000  0.8719 x2
Ir  0.5000  0.5000  0.5000 x1
Ru  0.0000  0.0000  0.5000 x1

Crystal system = tetragonal
Energy relative to the elements = -0.74 eV/atom

=====

Th2Ge4Ir3Ru: relaxed, PBE-GGA.

a b c (Å): 4.3030 4.3030 10.0822
angles (deg): 90.00 90.00 90.00
Space group P-4m2 (No. 115)
Asymmetric unit:
Th  0.0000  0.5000  0.2481 x2
Ge  0.0000  0.0000  0.0000 x1
Ge  0.0000  0.5000  0.6268 x2
Ge  0.5000  0.5000  0.0000 x1
Ir  0.0000  0.5000  0.8704 x2
Ir  0.5000  0.5000  0.5000 x1
Ru  0.0000  0.0000  0.5000 x1

Crystal system = tetragonal
Energy relative to the elements = -0.80 eV/atom

=====

ThGe2Ir2Ru: relaxed, PBE-GGA.

a b c (Å): 4.3200 4.3200 6.6188
angles (deg): 90.00 90.00 120.00
Space group P-3m1 (No. 164)
Asymmetric unit:
Th  0.0000  0.0000  0.0000 x1
Ge  0.3333  0.6667  0.3259 x2
Ir  0.3333  0.6667  0.7171 x2
Ru  0.0000  0.0000  0.5000 x1

Crystal system = trigonal
Energy relative to the elements = -0.60 eV/atom

=====

TiGeIrRu: relaxed, PBE-GGA.

a b c (Å): 4.1135 4.1135 6.8485
angles (deg): 90.00 90.00 90.00
Space group I-4m2 (No. 119)
Asymmetric unit:
Ti  0.0000  0.0000  0.0000 x2
Ge  0.0000  0.0000  0.5000 x2
Ir  0.0000  0.5000  0.2500 x2
Ru  0.0000  0.5000  0.7500 x2

Crystal system = tetragonal
Energy relative to the elements = -0.62 eV/atom

=====

TmGe2IrRu: relaxed, PBE-GGA.

a b c (Å): 4.2094 4.2094 9.9897
angles (deg): 90.00 90.00 90.00
Space group I-4m2 (No. 119)
Asymmetric unit:
Tm  0.0000  0.0000  0.0000 x2
Ge  0.0000  0.0000  0.3753 x4
Ir  0.0000  0.5000  0.2500 x2
Ru  0.0000  0.5000  0.7500 x2

Crystal system = tetragonal
Energy relative to the elements = -0.70 eV/atom